Entry 1:
Entry from the Alexandria database: a relaxed DyTm4CuS8 crystal (GGA-PBE).

a b c (Å): 7.8253 7.8253 19.2707
angles (deg): 90.00 90.00 120.00
Closest atoms and distances in Å follow each position.
Space group R3m (No. 160, hexagonal axes)
One atom of each set of equivalent atoms:
1 Dy 0.0000 0.0000 0.0000  6 S 2.71-2.76
2 Tm 0.0000 0.0000 0.6208  4 S 2.56-2.57
3 Tm 0.1732 0.3464 0.8270  6 S 2.69-2.73
4 Cu 0.0000 0.0000 0.3701  4 S 2.43-2.45
5 S 0.0000 0.0000 0.2428  1 Cu 2.45, 3 Tm 2.69
6 S 0.0000 0.0000 0.7544  4 Tm 2.57-2.73
7 S 0.0040 0.5020 0.7469  1 Cu 2.43, 2 Tm 2.69, 1 Dy 2.71
8 S 0.1773 0.3547 0.5745  3 Tm 2.56-2.73, 1 Dy 2.76

- Volume: 24.33 Å³/atom
- M_tot: 0.00 μB/cell
- VASP energy: -6.08 eV/atom



Entry 2:
Entry from the Alexandria database: a relaxed AlCd11Hg17 crystal (GGA-PBE).

a b c (Å): 8.8763 10.1131 10.1748
angles (deg): 114.95 106.12 103.38
Closest atoms and distances in Å follow each position.
Space group P1 (No. 1)
One atom of each set of equivalent atoms:
1 Al 0.0000 0.0000 0.0000  5 Hg 2.80-3.04, 3 Cd 2.95-3.02
2 Cd 0.0158 0.4830 0.5127  6 Hg 3.03-3.17, 3 Cd 3.05-3.27
3 Cd 0.1303 0.0168 0.7609  1 Al 3.02, 7 Hg 3.10-3.19, 1 Cd 3.29
4 Cd 0.2499 0.2818 0.5424  7 Hg 3.01-3.14, 1 Cd 3.27
5 Cd 0.4246 0.6130 0.3302  7 Hg 3.08-3.20, 3 Cd 3.11-3.39
6 Cd 0.4345 0.8069 0.1287  1 Cd 2.98, 6 Hg 3.01-3.19
7 Cd 0.6158 0.5900 0.1131  3 Cd 2.98-3.16, 5 Hg 2.99-3.28
8 Cd 0.6506 0.2072 0.3500  5 Hg 2.92-3.26, 2 Cd 3.16-3.19
9 Cd 0.6729 0.8364 0.7118  1 Al 2.95, 2 Cd 3.07-3.25, 5 Hg 3.07-3.17
10 Cd 0.8780 0.4071 0.7274  3 Cd 3.05-3.19, 7 Hg 3.07-3.30
11 Cd 0.8826 0.1941 0.8728  1 Al 2.99, 3 Cd 3.07-3.29, 5 Hg 3.19-3.31
12 Cd 0.9975 0.8462 0.3035  7 Hg 2.98-3.25, 1 Cd 3.16
13 Hg 0.0921 0.5849 0.1012  5 Cd 3.05-3.31, 3 Hg 3.20-3.35
14 Hg 0.1120 0.7595 0.8574  1 Al 2.82, 4 Cd 3.13-3.15, 1 Hg 3.14
15 Hg 0.1227 0.3232 0.2493  1 Al 2.85, 3 Cd 3.03-3.12, 2 Hg 3.09-3.15
16 Hg 0.2406 0.7802 0.5200  4 Cd 3.04-3.19, 2 Hg 3.17-3.22
17 Hg 0.2426 0.3802 0.8771  5 Cd 3.05-3.30, 5 Hg 3.20-3.39
18 Hg 0.2742 0.0332 0.2624  1 Al 2.90, 4 Cd 2.98-3.06
19 Hg 0.3924 0.6464 0.7761  4 Cd 3.10-3.17, 5 Hg 3.14-3.39
20 Hg 0.4012 0.2690 0.1210  5 Hg 3.08-3.40, 4 Cd 3.12-3.41, 1 Al 3.44
21 Hg 0.4978 0.0242 0.8930  2 Cd 3.07-3.13, 6 Hg 3.08-3.32
22 Hg 0.5494 0.2813 0.7780  4 Cd 3.05-3.29, 3 Hg 3.14-3.37
23 Hg 0.5564 0.9856 0.5045  4 Hg 3.07-3.27, 5 Cd 3.14-3.37
24 Hg 0.5694 0.4742 0.5408  5 Cd 2.97-3.26, 3 Hg 3.24-3.33
25 Hg 0.7795 0.0034 0.1505  1 Al 2.80, 2 Cd 2.92-3.13
26 Hg 0.7853 0.6748 0.9261  4 Cd 3.00-3.31, 1 Al 3.04, 5 Hg 3.16-3.35
27 Hg 0.7963 0.3880 0.1619  3 Cd 2.99-3.19, 5 Hg 3.09-3.32
28 Hg 0.8282 0.7042 0.4750  6 Cd 3.08-3.20, 3 Hg 3.29-3.42
29 Hg 0.9188 0.0972 0.5250  5 Cd 2.98-3.26, 3 Hg 3.07-3.33

- Volume: 25.14 Å³/atom
- M_tot: 0.00 μB/cell
- VASP energy: -0.61 eV/atom



Entry 3:
Entry from the Alexandria database: a relaxed SrZr2P2N6 crystal (GGA-PBE).

a b c (Å): 5.5772 5.6439 6.5236
angles (deg): 111.34 113.24 92.36
Closest atoms and distances in Å follow each position.
Space group P-1 (No. 2)
One atom of each set of equivalent atoms:
1 Sr 0.0000 0.0000 0.0000  4 N 2.60-2.66
2 Zr 0.1326 0.7392 0.4580  4 N 2.07-2.24
3 P 0.4436 0.3528 0.8074  3 N 1.61-1.66
4 N 0.2211 0.1050 0.7507  1 P 1.66
5 N 0.2611 0.4859 0.6290  1 P 1.65
6 N 0.2920 0.7234 0.2173  1 P 1.61

- Volume: 15.60 Å³/atom
- M_tot: 0.00 μB/cell
- VASP energy: -8.23 eV/atom



Entry 4:
Entry from the Alexandria database: a relaxed MnP3 crystal (GGA-PBE).

a b c (Å): 5.8317 5.8317 5.8317
angles (deg): 90.00 90.00 90.00
Closest atoms and distances in Å follow each position.
Space group Fm-3m (No. 225)
One atom of each set of equivalent atoms:
1 Mn 0.0000 0.0000 0.0000  8 P 2.53
2 P 0.0000 0.0000 0.5000  8 P 2.53
3 P 0.2500 0.2500 0.2500  4 P 2.53, 4 Mn 2.53

- Polymorph energy (0 for the lowest one): 621.1 meV per atom
- Volume: 12.40 Å³/atom
- M_tot: 1.57 μB/cell
- VASP energy: -5.89 eV/atom



Entry 5:
Entry from the Alexandria database: a relaxed DyP2Ir3 crystal (GGA-PBE).

a b c (Å): 15.9084 3.8950 9.7150
angles (deg): 90.00 107.61 90.00
Closest atoms and distances in Å follow each position.
Space group C2/m (No. 12)
One atom of each set of equivalent atoms:
1 Dy 0.0000 0.0000 0.0000  6 Ir 2.98-3.11, 6 P 3.07-3.11
2 Dy 0.1523 0.0000 0.6902  6 P 2.94-3.12, 8 Ir 3.03-3.29
3 P 0.0400 0.5000 0.7785  3 Ir 2.27-2.37
4 P 0.1355 0.5000 0.4517  3 Ir 2.26-2.35
5 P 0.2012 0.0000 0.1349  4 Ir 2.33-2.46
6 Ir 0.0000 0.5000 0.5000  4 P 2.34-2.59
7 Ir 0.0407 0.0000 0.3199  4 P 2.37-2.56
8 Ir 0.1310 0.5000 0.2082  3 P 2.35-2.46
9 Ir 0.1755 0.5000 0.9463  2 P 2.27-2.33
10 Ir 0.2259 0.0000 0.3943  2 P 2.26-2.43

- Volume: 15.94 Å³/atom
- M_tot: 0.00 μB/cell
- VASP energy: -7.87 eV/atom



Entry 6:
Entry from the Alexandria database: a relaxed CaAcLuSn crystal (GGA-PBE).

a b c (Å): 7.9815 7.9815 7.9815
angles (deg): 90.00 90.00 90.00
Closest atoms and distances in Å follow each position.
Space group F-43m (No. 216)
One atom of each set of equivalent atoms:
1 Ca 0.0000 0.0000 0.0000  4 Ac 3.46, 4 Sn 3.46
2 Ac 0.2500 0.2500 0.2500  4 Ca 3.46, 4 Lu 3.46
3 Lu 0.0000 0.0000 0.5000  4 Sn 3.46, 4 Ac 3.46
4 Sn 0.2500 0.2500 0.7500  4 Ca 3.46, 4 Lu 3.46

- Volume: 31.78 Å³/atom
- M_tot: 3.98 μB/cell
- VASP energy: -3.73 eV/atom



Entry 7:
Entry from the Alexandria database: a relaxed YSnP2S crystal (GGA-PBE).

a b c (Å): 4.9532 4.9532 4.9976
angles (deg): 90.00 90.00 90.00
Closest atoms and distances in Å follow each position.
Space group P4/mmm (No. 123)
One atom of each set of equivalent atoms:
1 Y 0.0000 0.0000 0.0000  4 S 3.50, 8 P 3.52
2 Sn 0.5000 0.5000 0.5000  4 P 2.48, 2 S 2.50
3 P 0.0000 0.5000 0.5000  2 Sn 2.48
4 S 0.5000 0.5000 0.0000  2 Sn 2.50

- Polymorph energy (0 for the lowest one): 0.0 meV per atom
- Volume: 24.52 Å³/atom
- M_tot: 0.00 μB/cell
- VASP energy: -4.96 eV/atom



Entry 8:
Entry from the Alexandria database: a relaxed CsAgHg2I6 crystal (GGA-PBE).

a b c (Å): 16.1791 15.2601 8.4952
angles (deg): 90.00 112.21 90.00
Closest atoms and distances in Å follow each position.
Space group C2/c (No. 15)
One atom of each set of equivalent atoms:
1 Cs 0.0000 0.1833 0.2500  8 I 3.86-4.24
2 Ag 0.0000 0.3311 0.7500  4 I 2.87-2.91
3 Hg 0.2293 0.1045 0.8658  3 I 2.77-2.85
4 I 0.0917 0.4114 0.0808  1 Hg 2.77, 1 Ag 2.91
5 I 0.1338 0.0246 0.0392  1 Hg 2.79
6 I 0.1528 0.2630 0.6964  1 Hg 2.85, 1 Ag 2.87

- Volume: 48.54 Å³/atom
- M_tot: 0.00 μB/cell
- VASP energy: -1.90 eV/atom